No. 1
# Mg14CrCu

A geometry-optimized Mg14CrCu structure (PBE-GGA, the Alexandria database).

Total magnetic moment   4.54 μB/f.u.
Total energy   -2.18 eV per atom
Energy of formation   1.6 kcal/mol of atoms
Mass density   2.2 g/cm³

a b c (Å): 6.2189 6.2189 10.1483
angles (deg): 90.00 90.00 120.00
Space group P-6m2 (No. 187)
Inequivalent atoms, fractional coordinates:
Mg 0.0000 0.0000 0.2483 (multiplicity 2)
Mg 0.0098 0.5049 0.2543 (multiplicity 6)
Mg 0.3309 0.1655 0.5000 (multiplicity 3)
Mg 0.3354 0.1677 0.0000 (multiplicity 3)
Cr 0.3333 0.6667 0.0000 (multiplicity 1)
Cu 0.3333 0.6667 0.5000 (multiplicity 1)

---

No. 2
# MgCrCu2

A geometry-optimized MgCrCu2 structure (PBE-GGA, the Alexandria database).

Total magnetic moment   4.02 μB/f.u.
Total energy   -4.26 eV per atom
Energy of formation   13.7 kcal/mol of atoms
Mass density   5.2 g/cm³

a b c (Å): 3.7821 3.7821 18.1565
angles (deg): 90.00 90.00 90.00
Space group I-42d (No. 122)
Inequivalent atoms, fractional coordinates:
Mg 0.0000 0.0000 0.0000 (multiplicity 4)
Cr 0.0000 0.0000 0.5000 (multiplicity 4)
Cu 0.2422 0.2500 0.6250 (multiplicity 8)

---

No. 3
# MgCrCu2

A geometry-optimized MgCrCu2 structure (PBE-GGA, the Alexandria database).

Total magnetic moment   3.56 μB/f.u.
Total energy   -4.68 eV per atom
Energy of formation   4.0 kcal/mol of atoms
Mass density   5.9 g/cm³

a b c (Å): 4.2937 4.2937 3.1249
angles (deg): 90.00 90.00 90.00
Space group P4/mmm (No. 123)
Inequivalent atoms, fractional coordinates:
Mg 0.0000 0.0000 0.0000 (multiplicity 1)
Cr 0.5000 0.5000 0.0000 (multiplicity 1)
Cu 0.0000 0.5000 0.5000 (multiplicity 2)

---

No. 4
# MgCrCu2

A geometry-optimized MgCrCu2 structure (PBE-GGA, the Alexandria database).

Total magnetic moment   3.85 μB/f.u.
Total energy   -4.63 eV per atom
Energy of formation   5.1 kcal/mol of atoms
Mass density   5.6 g/cm³

a b c (Å): 2.9147 4.1462 5.1678
angles (deg): 90.00 106.19 90.00
Space group Pm (No. 6)
Inequivalent atoms, fractional coordinates:
Mg 0.0000 0.0000 0.0000 (multiplicity 1)
Cr 0.6781 0.5000 0.3511 (multiplicity 1)
Cu 0.2658 0.0000 0.5256 (multiplicity 1)
Cu 0.4016 0.5000 0.8063 (multiplicity 1)

---

No. 5
# MgCr3Cu

A geometry-optimized MgCr3Cu structure (PBE-GGA, the Alexandria database).

Total magnetic moment   12.66 μB/f.u.
Offset from the most stable computed form   0.00 eV/f.u.
Total energy   -5.77 eV per atom
Energy of formation   26.3 kcal/mol of atoms
Mass density   3.9 g/cm³

a b c (Å): 4.6986 4.6986 4.6986
angles (deg): 90.00 90.00 90.00
Space group Pm-3m (No. 221)
Inequivalent atoms, fractional coordinates:
Mg 0.0000 0.0000 0.0000 (multiplicity 1)
Cr 0.0000 0.5000 0.5000 (multiplicity 3)
Cu 0.5000 0.5000 0.5000 (multiplicity 1)

---

No. 6
# MgCrCu2

A geometry-optimized MgCrCu2 structure (PBE-GGA, the Alexandria database).

Total magnetic moment   3.64 μB/f.u.
Total energy   -4.62 eV per atom
Energy of formation   5.4 kcal/mol of atoms
Mass density   5.7 g/cm³

a b c (Å): 3.1137 3.1137 6.0965
angles (deg): 90.00 90.00 90.00
Space group P4mm (No. 99)
Inequivalent atoms, fractional coordinates:
Mg 0.0000 0.0000 0.0000 (multiplicity 1)
Cr 0.5000 0.5000 0.3063 (multiplicity 1)
Cu 0.0000 0.0000 0.5320 (multiplicity 1)
Cu 0.5000 0.5000 0.7419 (multiplicity 1)